DFT (PBE+U) results for MgMo2O4 after structural relaxation.

```
28
Lattice="5.2970 0.0000 0.0000 0.0000 6.2951 0.0000 0.0000 0.0000 10.7091" Properties=species:S:1:pos:R:3 pbc="T T T"
Mg 3.5472 0.0000 0.0000
Mg 1.7498 3.1476 5.3546
Mg 5.0560 0.0000 5.3546
Mg 0.2410 3.1476 0.0000
Mo 5.0883 3.1476 2.8359
Mo 5.0883 3.1476 7.8732
Mo 0.2087 0.0000 2.5186
Mo 0.2087 0.0000 8.1905
Mo 2.6485 1.5738 2.6773
Mo 2.6485 4.7214 8.0318
Mo 2.6485 4.7214 2.6773
Mo 2.6485 1.5738 8.0318
O 3.2406 3.1476 3.9806
O 3.2406 3.1476 6.7285
O 2.0564 0.0000 1.3739
O 2.0564 0.0000 9.3352
O 1.5576 3.1476 1.6228
O 1.5576 3.1476 9.0863
O 3.7394 0.0000 3.7317
O 3.7394 0.0000 6.9774
O 4.4675 1.5692 1.4204
O 4.4675 4.7260 9.2887
O 0.8294 4.7167 3.9342
O 0.8294 1.5784 6.7750
O 0.8294 1.5784 3.9342
O 0.8294 4.7167 6.7750
O 4.4675 4.7260 1.4204
O 4.4675 1.5692 9.2887
```

Distance to the lowest polymorph of the same formula in meV per atom: 218